Compound: Li2Cu2Br5
Source: Alexandria via LeMat-Bulk
Functional: PBE
Structure: optimized geometry

The structure belongs to space group P-1 (No. 2); the cell edges are 3.976, 6.726 and 10.010 Å and the angles 73.62°, 88.69° and 86.61°. The distinct sites, in fractional coordinates, are Li at (0.211, 0.413, 0.267), Cu at (0.190, 0.186, 0.701), Br at (0.000, 0.500, 0.500), Br at (0.280, 0.019, 0.309) and Br at (0.301, 0.389, 0.856).

The total energy is -3.071 eV/atom. The value obtained for the distance to the lowest polymorph of the same formula is 0.000 eV per atom. The value obtained for the uncorrected formation energy is -0.81 eV per atom. The calculation puts the volume at 256 Å³ per cell. The calculation puts the calculated density at 3.50 g/cm3.

***

Compound: VRe2IrRh
Source: Alexandria via LeMat-Bulk
Functional: PBE
Structure: optimized geometry

The structure belongs to space group P4/mmm (No. 123); the cell edges are 4.578, 4.578 and 4.735 Å and the angles 90.00°, 90.00° and 90.00°. The distinct sites, in fractional coordinates, are V at (0.000, 0.000, 0.000), Re at (0.000, 0.500, 0.500), Ir at (0.500, 0.500, 0.000) and Rh at (0.500, 0.500, 0.500).

The total energy is -7.769 eV/atom. The calculation puts the volume at 99 Å³ per cell. The calculation puts the calculated density at 12.02 g/cm3. As for the calculated formation energy: 2.28 eV/atom.

***

Compound: H4PdPt3
Source: Alexandria via LeMat-Bulk
Functional: PBE
Structure: optimized geometry

The structure belongs to space group Cm (No. 8); the cell edges are 9.651, 2.758 and 7.412 Å and the angles 90.00°, 96.67° and 90.00°. The distinct sites, in fractional coordinates, are H at (0.000, 0.000, 0.000), H at (0.062, 0.500, 0.502), H at (0.205, 0.500, 0.811), H at (0.290, 0.000, 0.237), Pd at (0.135, 0.000, 0.653), Pt at (0.380, 0.000, 0.485), Pt at (0.385, 0.500, 0.804) and Pt at (0.392, 0.500, 0.172).

The total energy is -4.484 eV/atom. The calculation puts the volume at 196 Å³ per cell. The calculation puts the calculated density at 11.79 g/cm3.

***

Compound: MgSi2Ag
Source: Alexandria via LeMat-Bulk
Functional: PBE
Structure: optimized geometry

The structure belongs to space group F-43m (No. 216); the cell edges are 6.556, 6.556 and 6.556 Å and the angles 90.00°, 90.00° and 90.00°. The distinct sites, in fractional coordinates, are Mg at (0.000, 0.000, 0.000), Si at (0.000, 0.000, 0.500), Si at (0.250, 0.250, 0.250) and Ag at (0.250, 0.250, 0.750).

The total energy is -3.505 eV/atom. The value obtained for the uncorrected formation energy is 0.32 eV per atom. The calculation puts the volume at 282 Å³ per cell. The calculation puts the calculated density at 4.44 g/cm3.